A relaxed BaTc2Pt crystal, computed with PBE.

## Properties
Crystal system: monoclinic
Formation enthalpy at 0 K, kcal/mol of atoms: 5.927
E_tot, Ha/atom: -0.254

abc: 4.769 4.769 6.105
angles: 104.64 104.64 49.59
Positions (direct):
Ba 0.000 0.000 0.000
Tc 0.216 0.216 0.582
Tc 0.784 0.784 0.418
Pt 0.500 0.500 0.500